V3BiO | GGA+U | optimized geometry

Values from the calculation:
- VASP energy (eV per atom) = -4.43
- DOS(E_F) (states/eV/f.u.) = 2.85

Unit cell a=5.3945 b=5.3945 c=5.3945 alpha=90.00 beta=90.00 gamma=90.00
Last column: nearest neighbours and their distance in Å.
Space group Pm-3m (No. 221)
One atom of each set of equivalent atoms:
V1 0.0000 0.0000 0.5000 [3 per cell]  2 Bi 2.70
Bi1 0.0000 0.0000 0.0000 [1 per cell]  6 V 2.70
O1 0.5000 0.5000 0.5000 [1 per cell]  12 V 3.81